Entry 1:
First-principles (PBE) data for an optimized crystal structure of YAsOs2, as listed in the Alexandria database.

Values from the calculation:
energy	-0.5860	Ry/atom
SG	No. 160
total magnetic moment	0.0009	μB per atom
E_form	1.7	eV/f.u.

```
YAsOs2
1.0
9.3390 -0.0137 -0.0081
8.8726 2.9144 -0.0081
8.8726 1.4132 2.5489
Y As Os
1 1 2
Cartesian
13.5405 2.1567 1.2662
19.9945 3.1846 1.8698
0.0465 0.0074 0.0044
7.0449 1.1221 0.6588
```

Entry 2:
First-principles (PBE) data for an optimized crystal structure of Rb12Ag5I3, as listed in the Alexandria database.

Values from the calculation:
energy	-0.1326	Ry/atom
SG	No. 230
uncorrected formation energy	-0.278	eV per atom
total magnetic moment	0.0000	μB per atom

```
Rb12Ag5I3
1.0
18.5905 0.0000 0.0000
-6.1968 17.5273 0.0000
-6.1968 -8.7637 15.1791
I Ag Rb
12 20 48
Cartesian
10.8445 5.4773 1.8974
10.8445 12.0500 1.8974
-1.5492 7.6682 9.4869
1.5492 -1.0955 5.6922
13.9429 0.0000 3.7948
1.5492 8.7637 3.7948
4.6476 0.0000 11.3843
-7.7461 8.7637 11.3843
4.6476 9.8591 9.4869
7.7461 1.0955 5.6922
-4.6476 -3.2864 13.2817
-4.6476 3.2864 13.2817
-1.5492 4.3818 3.7948
-3.0984 8.7637 0.0000
0.0000 0.0000 0.0000
4.6476 3.2864 1.8974
6.1968 -4.3818 7.5896
6.1968 8.7637 0.0000
-4.6476 9.8591 5.6922
7.7461 -5.4773 13.2817
7.7461 7.6682 5.6922
1.5492 -4.3818 11.3843
4.6476 13.1455 3.7948
3.0984 4.3818 7.5896
9.2953 0.0000 0.0000
-3.0984 -4.3818 7.5896
-1.5492 1.0955 9.4869
-1.5492 14.2410 1.8974
-6.1968 4.3818 7.5896
10.8445 -1.0955 9.4869
1.5492 5.4773 13.2817
7.7461 4.3818 11.3843
12.3552 1.7596 0.6922
0.0385 5.8611 6.4118
13.6779 4.1581 4.2371
8.0110 2.7914 1.8700
2.4594 6.7170 10.2498
13.0775 8.5877 2.6602
-1.2842 10.1303 6.1071
-4.9126 14.7359 1.8700
0.6390 10.8103 10.2498
8.6115 8.9396 2.6602
9.3338 4.6621 5.7196
9.3338 15.7677 0.6922
-5.5579 7.8532 8.2818
3.7822 6.5478 1.4825
-6.2354 12.8652 5.7196
3.1370 -2.9026 8.7673
-0.6390 1.1362 3.3524
3.7822 11.1555 1.1777
8.0110 13.3692 4.2371
-0.6838 6.3719 1.1777
-3.7374 9.8999 11.8267
4.3827 7.3970 6.1071
8.6563 9.6741 8.2818
6.8806 -2.2158 13.6967
1.8142 1.3667 9.0720
-2.4594 -0.9104 6.8973
-0.6838 10.9795 1.4825
-1.8142 -4.6056 10.9420
9.9343 -1.1362 3.3524
6.8806 2.3918 14.0014
2.4146 -2.3918 14.0014
3.0599 11.6662 6.4118
6.8359 7.6275 11.8267
12.4323 -4.1015 9.4595
11.7547 0.9104 6.8973
-3.1370 -7.0041 14.4869
2.4146 2.2158 13.6967
5.5579 -2.0466 4.9293
-2.4146 -0.1759 12.5189
-3.1370 4.1015 9.4595
11.1095 -5.9722 13.3092
7.4811 -1.3667 9.0720
-1.8142 5.9722 13.3092
-6.8806 0.1759 12.5189
3.7374 2.0466 4.9293
-7.4811 4.6055 10.9420
6.1583 2.9026 8.7673
-6.1583 7.0041 14.4869
```

Entry 3:
First-principles (PBE) data for an optimized crystal structure of V6GeRh12, as listed in the Alexandria database.

Values from the calculation:
energy	-0.5959	Ry/atom
SG	No. 148
total magnetic moment	0.0001	μB per atom
E_form	-6.5	eV/f.u.

```
V6GeRh12
1.0
7.0204 -0.8590 -1.0291
-1.9134 6.8090 -1.0291
-1.9134 -2.2293 6.5155
V Ge Rh
6 1 12
Cartesian
1.8691 4.8423 1.0754
3.2864 1.8440 -0.4991
-1.3094 3.1240 1.7251
1.3245 -1.1215 3.3820
-0.0928 1.8767 4.9565
4.5029 0.5968 2.7322
0.0000 0.0000 0.0000
3.2888 2.7283 1.8726
0.8407 3.4562 3.0191
2.1982 1.1877 3.9401
-0.0952 0.9924 2.5847
2.3529 0.2645 1.4383
0.9954 2.5331 0.5173
4.1524 4.3097 -0.0466
-0.4368 4.6168 -0.2155
4.6296 -0.2600 0.2253
-0.9588 -0.5890 4.5040
3.6304 -0.8960 4.6729
-1.4361 3.9807 4.2320
```

Entry 4:
First-principles (PBE) data for an optimized crystal structure of SrPr3Se4, as listed in the Alexandria database.

Values from the calculation:
energy	-0.4132	Ry/atom
SG	No. 65
uncorrected formation energy	-1.878	eV per atom
total magnetic moment	0.0000	μB per atom
relative energy among the computed polymorphs	0.0064	eV per atom

```
SrPr3Se4
1.0
-2.4419 -3.5067 0.0461
0.9256 -0.7414 -7.3671
5.4188 -3.7270 3.5253
Sr Pr Se
1 3 4
Cartesian
-1.2209 -1.7534 0.0231
2.7094 -1.8635 1.7627
1.9512 -3.9876 -1.8978
0.4628 -0.3707 -3.6836
1.6045 -1.1301 -0.9716
0.8309 -3.2431 -4.6138
4.7398 -3.3383 -2.8702
3.0715 -4.7320 0.8181
```

Look up the total magnetic moment of the second one.
0.0000 μB per atom

Which formula does entry 2 have?
Rb12Ag5I3

Which value of total magnetic moment does entry 3 give?
0.0001 μB per atom